Record 1
Material: Tl2ZnSb2
Method: DFT, PBE
State: optimized geometry

Properties
- Uncorrected formation energy: 224 meV per atom
- Energy relative to the lowest polymorph listed for this composition: 222 meV/atom
- N(E_F): 1.20 states/eV/f.u.
- Symmetry: P4/mbm, No. 127

abc: 10.0618 10.0618 3.3270
angles: 90.00 90.00 90.00
Element x y z (fractional)
Tl 0.1844 0.3156 0.0000
Tl 0.3156 0.8156 0.0000
Tl 0.6844 0.1844 0.0000
Tl 0.8156 0.6844 0.0000
Zn 0.0000 0.0000 0.0000
Zn 0.5000 0.5000 0.0000
Sb 0.1008 0.6008 0.5000
Sb 0.3992 0.1008 0.5000
Sb 0.6008 0.8992 0.5000
Sb 0.8992 0.3992 0.5000

Record 2
Material: TlZn3Sb
Method: DFT, PBE
State: optimized geometry

Properties
- Uncorrected formation energy: 426 meV per atom
- Energy relative to the lowest polymorph listed for this composition: 0 meV/atom
- N(E_F): 2.36 states/eV/f.u.
- Symmetry: Pm-3m, No. 221

abc: 5.3151 5.3151 5.3151
angles: 90.00 90.00 90.00
Element x y z (fractional)
Tl 0.0000 0.0000 0.0000
Zn 0.0000 0.5000 0.5000
Zn 0.5000 0.0000 0.5000
Zn 0.5000 0.5000 0.0000
Sb 0.5000 0.5000 0.5000

Record 3
Material: TlZnSb2
Method: DFT, PBE
State: optimized geometry

Properties
- Uncorrected formation energy: 207 meV per atom
- Energy relative to the lowest polymorph listed for this composition: 197 meV/atom
- N(E_F): 2.02 states/eV/f.u.
- Symmetry: C2/m, No. 12

abc: 6.3709 10.3693 3.2641
angles: 90.00 101.79 90.00
Element x y z (fractional)
Tl 0.0000 0.0000 0.0000
Tl 0.5000 0.5000 0.0000
Zn 0.0000 0.5000 0.0000
Zn 0.5000 0.0000 0.0000
Sb 0.2500 0.2500 0.5000
Sb 0.2500 0.7500 0.5000
Sb 0.7500 0.2500 0.5000
Sb 0.7500 0.7500 0.5000